Record 1
A plane-wave DFT calculation with PBE was carried out for KBaTl2Pt after structural relaxation.

Calculated values
Energy relative to the lowest polymorph listed for this composition (eV/f.u.): 0.000
Total magnetic moment (μB per cell): 0.00
Formation enthalpy at 0 K (eV per atom): -0.1986
DOS at the Fermi energy (states/eV/f.u.): 4.3
SG: P4/mmm (123)

a b c (Å): 5.5564 5.5564 5.9373
angles (deg): 90.00 90.00 90.00
Closest atoms and distances in Å follow each position.
Sites, in units of the cell vectors:
1 K 0.5000 0.5000 0.5000  4 Ba 3.93, 8 Tl 4.07
2 Tl 0.0000 0.5000 0.0000  2 Pt 2.78
3 Tl 0.5000 0.0000 0.0000  2 Pt 2.78
4 Ba 0.0000 0.0000 0.5000  2 Pt 2.97
5 Pt 0.0000 0.0000 0.0000  4 Tl 2.78, 2 Ba 2.97

---

Record 2
A plane-wave DFT calculation with PBE was carried out for KRb4Ba2 after structural relaxation.

Calculated values
Total magnetic moment (μB per cell): 0.00
Formation enthalpy at 0 K (eV per atom): 0.3149
DOS at the Fermi energy (states/eV/f.u.): 9.8
SG: I4/mmm (139)

a b c (Å): 7.7330 7.7330 12.6906
angles (deg): 107.74 107.74 90.00
Closest atoms and distances in Å follow each position.
Sites, in units of the cell vectors:
1 K 0.0000 0.0000 0.0000  6 Rb 3.87-4.31
2 Ba 0.3952 0.3952 0.7905  5 Rb 4.55-4.74, 1 Ba 4.80
3 Ba 0.6048 0.6048 0.2095  5 Rb 4.55-4.74, 1 Ba 4.80
4 Rb 0.8119 0.8119 0.6238  1 K 4.31, 1 Ba 4.74
5 Rb 0.1881 0.1881 0.3762  1 K 4.31, 1 Ba 4.74
6 Rb 0.0000 0.5000 0.0000  2 K 3.87
7 Rb 0.5000 0.0000 0.0000  2 K 3.87

---

Record 3
A plane-wave DFT calculation with PBE was carried out for K8Rb6Ba after structural relaxation.

Calculated values
Total magnetic moment (μB per cell): 0.00
Formation enthalpy at 0 K (eV per atom): 0.0727
DOS at the Fermi energy (states/eV/f.u.): 12.7
SG: P6/m (175)

a b c (Å): 13.3568 13.3568 7.8402
angles (deg): 90.00 90.00 120.00
Closest atoms and distances in Å follow each position.
Sites, in units of the cell vectors:
1 K 0.9710 0.6737 0.9999  3 K 4.18-4.33, 2 Rb 4.46
2 K 0.7027 0.0290 0.9999  3 K 4.18-4.33, 2 Rb 4.46
3 K 0.3263 0.2973 0.9999  3 K 4.18-4.33, 2 Rb 4.46
4 K 0.0290 0.3263 0.0001  3 K 4.18-4.33, 2 Rb 4.46
5 K 0.2973 0.9710 0.0001  3 K 4.18-4.33, 2 Rb 4.46
6 K 0.6737 0.7027 0.0001  3 K 4.18-4.33, 2 Rb 4.46
7 K 0.3333 0.6667 0.0001  3 K 4.33
8 K 0.6667 0.3333 0.9999  3 K 4.33
9 Rb 0.7126 0.5665 0.4998  6 K 4.46-4.94, 2 Rb 4.95
10 Rb 0.8539 0.2874 0.4998  6 K 4.46-4.94, 2 Rb 4.95
11 Rb 0.4335 0.1461 0.4998  6 K 4.46-4.94, 2 Rb 4.95
12 Rb 0.2874 0.4335 0.5002  6 K 4.46-4.94, 2 Rb 4.95
13 Rb 0.1461 0.7126 0.5002  6 K 4.46-4.94, 2 Rb 4.95
14 Rb 0.5665 0.8539 0.5002  6 K 4.46-4.94, 2 Rb 4.95
15 Ba 0.0000 0.0000 0.5000  6 Rb 5.10

---

Record 4
A plane-wave DFT calculation with PBE was carried out for K6RbBa after structural relaxation.

Calculated values
Total magnetic moment (μB per cell): 0.00
Formation enthalpy at 0 K (eV per atom): 0.1968
DOS at the Fermi energy (states/eV/f.u.): 7.6
SG: R-3m (166)

a b c (Å): 13.1349 13.1349 13.1349
angles (deg): 38.80 38.80 38.80
Closest atoms and distances in Å follow each position.
Sites, in units of the cell vectors:
1 K 0.9417 0.4431 0.9417  5 K 4.21-4.37, 1 Rb 4.70
2 K 0.9417 0.9417 0.4431  5 K 4.21-4.37, 1 Rb 4.70
3 K 0.5569 0.0583 0.0583  5 K 4.21-4.37, 1 Rb 4.70
4 K 0.0583 0.0583 0.5569  5 K 4.21-4.37, 1 Rb 4.70
5 K 0.0583 0.5569 0.0583  5 K 4.21-4.37, 1 Rb 4.70
6 K 0.4431 0.9417 0.9417  5 K 4.21-4.37, 1 Rb 4.70
7 Rb 0.0000 0.0000 0.0000  6 K 4.70
8 Ba 0.5000 0.5000 0.5000  12 K 4.84

---

Record 5
A plane-wave DFT calculation with PBE was carried out for KRbBa4 after structural relaxation.

Calculated values
Total magnetic moment (μB per cell): 0.00
Formation enthalpy at 0 K (eV per atom): 0.1843
DOS at the Fermi energy (states/eV/f.u.): 10.7
SG: F-43m (216)

a b c (Å): 8.6243 8.6243 8.6243
angles (deg): 60.00 60.00 60.00
Closest atoms and distances in Å follow each position.
Sites, in units of the cell vectors:
1 K 0.0000 0.0000 0.0000  12 Ba 5.06, 4 Rb 5.28
2 Ba 0.6251 0.6251 0.1247  6 Ba 4.31-4.32
3 Ba 0.6251 0.1247 0.6251  6 Ba 4.31-4.32
4 Ba 0.6251 0.6251 0.6251  6 Ba 4.31-4.32
5 Ba 0.1247 0.6251 0.6251  6 Ba 4.31-4.32
6 Rb 0.2500 0.2500 0.2500  12 Ba 5.06, 4 K 5.28

---

Record 6
A plane-wave DFT calculation with PBE was carried out for K3Rb2Ba after structural relaxation.

Calculated values
Total magnetic moment (μB per cell): 0.00
Formation enthalpy at 0 K (eV per atom): 0.0480
DOS at the Fermi energy (states/eV/f.u.): 5.4
SG: P4/mmm (123)

a b c (Å): 4.5946 4.5946 21.5163
angles (deg): 90.00 90.00 90.00
Closest atoms and distances in Å follow each position.
Sites, in units of the cell vectors:
1 K 0.0000 0.0000 0.0000  4 K 4.59, 8 Rb 4.90
2 K 0.0000 0.0000 0.6574  4 K 4.59, 4 Ba 4.69, 4 Rb 4.92
3 K 0.0000 0.0000 0.3426  4 K 4.59, 4 Ba 4.69, 4 Rb 4.92
4 Rb 0.5000 0.5000 0.8293  4 Rb 4.59, 8 K 4.90-4.92
5 Rb 0.5000 0.5000 0.1707  4 Rb 4.59, 8 K 4.90-4.92
6 Ba 0.5000 0.5000 0.5000  4 Ba 4.59, 8 K 4.69

---

Record 7
A plane-wave DFT calculation with PBE was carried out for K2RbBa2 after structural relaxation.

Calculated values
Energy relative to the lowest polymorph listed for this composition (eV/f.u.): 0.608
Total magnetic moment (μB per cell): 0.00
Formation enthalpy at 0 K (eV per atom): 0.1676
DOS at the Fermi energy (states/eV/f.u.): 4.6
SG: P4/mbm (127)

a b c (Å): 12.8795 12.8795 4.5860
angles (deg): 90.00 90.00 90.00
Closest atoms and distances in Å follow each position.
Sites, in units of the cell vectors:
1 K 0.3265 0.8265 0.0000  6 Ba 4.40-4.48, 2 K 4.59, 2 Rb 4.76
2 K 0.8265 0.6735 0.0000  6 Ba 4.40-4.48, 2 K 4.59, 2 Rb 4.76
3 K 0.6735 0.1735 0.0000  6 Ba 4.40-4.48, 2 K 4.59, 2 Rb 4.76
4 K 0.1735 0.3265 0.0000  6 Ba 4.40-4.48, 2 K 4.59, 2 Rb 4.76
5 Ba 0.1202 0.6202 0.5000  3 Ba 4.38-4.59, 6 K 4.40-4.48
6 Ba 0.6202 0.8798 0.5000  3 Ba 4.38-4.59, 6 K 4.40-4.48
7 Ba 0.8798 0.3798 0.5000  3 Ba 4.38-4.59, 6 K 4.40-4.48
8 Ba 0.3798 0.1202 0.5000  3 Ba 4.38-4.59, 6 K 4.40-4.48
9 Rb 0.0000 0.0000 0.0000  2 Rb 4.59, 4 K 4.76
10 Rb 0.5000 0.5000 0.0000  2 Rb 4.59, 4 K 4.76

---

Record 8
A plane-wave DFT calculation with PBE was carried out for K3RbBa after structural relaxation.

Calculated values
Energy relative to the lowest polymorph listed for this composition (eV/f.u.): 0.000
Total magnetic moment (μB per cell): 0.00
Formation enthalpy at 0 K (eV per atom): 0.3254
DOS at the Fermi energy (states/eV/f.u.): 6.1
SG: Pm-3m (221)

a b c (Å): 7.4651 7.4651 7.4651
angles (deg): 90.00 90.00 90.00
Closest atoms and distances in Å follow each position.
Sites, in units of the cell vectors:
1 K 0.0000 0.5000 0.0000  2 Rb 3.73
2 K 0.0000 0.0000 0.5000  2 Rb 3.73
3 K 0.5000 0.0000 0.0000  2 Rb 3.73
4 Ba 0.5000 0.5000 0.5000  12 K 5.28
5 Rb 0.0000 0.0000 0.0000  6 K 3.73

---

Record 9
A plane-wave DFT calculation with PBE was carried out for K6Rb3Ba after structural relaxation.

Calculated values
Total magnetic moment (μB per cell): 0.00
Formation enthalpy at 0 K (eV per atom): 0.0423
DOS at the Fermi energy (states/eV/f.u.): 9.6
SG: P2_1/m (11)

a b c (Å): 4.6746 18.9184 19.4802
angles (deg): 114.90 90.00 90.00
Closest atoms and distances in Å follow each position.
Sites, in units of the cell vectors:
1 K 0.7500 0.1039 0.3578  5 K 4.67-4.82, 6 Rb 4.77-5.10
2 K 0.2500 0.8961 0.6422  5 K 4.67-4.82, 6 Rb 4.77-5.10
3 K 0.7500 0.2203 0.0602  7 K 4.45-4.85, 2 Ba 4.63, 3 Rb 4.68-4.74
4 K 0.2500 0.7797 0.9398  7 K 4.45-4.85, 2 Ba 4.63, 3 Rb 4.68-4.74
5 K 0.7500 0.7056 0.7011  8 K 4.56-4.85, 3 Rb 4.61-4.79
6 K 0.2500 0.2944 0.2989  8 K 4.56-4.85, 3 Rb 4.61-4.79
7 K 0.7500 0.4652 0.2356  7 K 4.45-4.67, 2 Ba 4.65, 2 Rb 4.78
8 K 0.2500 0.5348 0.7644  7 K 4.45-4.67, 2 Ba 4.65, 2 Rb 4.78
9 K 0.7500 0.3445 0.7870  6 K 4.47-4.67, 3 Ba 4.65-4.71, 2 Rb 4.90
10 K 0.2500 0.6555 0.2130  6 K 4.47-4.67, 3 Ba 4.65-4.71, 2 Rb 4.90
11 K 0.7500 0.8461 0.1711  1 Ba 4.59, 7 K 4.65-4.75, 3 Rb 4.67-4.73
12 K 0.2500 0.1539 0.8289  1 Ba 4.59, 7 K 4.65-4.75, 3 Rb 4.67-4.73
13 Rb 0.7500 0.3832 0.5349  2 Rb 4.67, 5 K 4.78-4.95
14 Rb 0.2500 0.6168 0.4651  2 Rb 4.67, 5 K 4.78-4.95
15 Rb 0.7500 0.8670 0.4187  6 K 4.67-5.10, 2 Rb 4.67
16 Rb 0.2500 0.1330 0.5813  6 K 4.67-5.10, 2 Rb 4.67
17 Rb 0.7500 0.9622 0.8769  8 K 4.61-4.81, 4 Rb 4.67-4.97
18 Rb 0.2500 0.0378 0.1231  8 K 4.61-4.81, 4 Rb 4.67-4.97
19 Ba 0.7500 0.5947 0.9887  4 Ba 4.45-4.67, 8 K 4.59-4.71
20 Ba 0.2500 0.4053 0.0113  4 Ba 4.45-4.67, 8 K 4.59-4.71

---

Record 10
A plane-wave DFT calculation with PBE was carried out for K14RbBa after structural relaxation.

Calculated values
Total magnetic moment (μB per cell): 0.00
Formation enthalpy at 0 K (eV per atom): 0.0311
DOS at the Fermi energy (states/eV/f.u.): 15.1
SG: Amm2 (38)

a b c (Å): 9.1264 9.1264 14.9069
angles (deg): 90.00 90.00 110.35
Closest atoms and distances in Å follow each position.
Sites, in units of the cell vectors:
1 K 0.3780 0.6220 0.5000  8 K 4.50-4.57
2 K 0.8776 0.1224 0.5000  8 K 4.48-4.56
3 K 0.8719 0.6289 0.0000  4 K 4.48-4.49, 2 Ba 4.56-4.57, 2 Rb 4.56-4.57
4 K 0.8779 0.6226 0.5000  8 K 4.56-4.61
5 K 0.3711 0.1281 0.0000  4 K 4.48-4.49, 2 Ba 4.56-4.57, 2 Rb 4.56-4.57
6 K 0.3774 0.1221 0.5000  8 K 4.56-4.61
7 K 0.6270 0.8760 0.7452  6 K 4.48-4.63, 1 Rb 4.60, 1 Ba 4.61
8 K 0.6270 0.8760 0.2548  6 K 4.48-4.63, 1 Rb 4.60, 1 Ba 4.61
9 K 0.1240 0.3730 0.7452  6 K 4.48-4.63, 1 Rb 4.60, 1 Ba 4.61
10 K 0.1240 0.3730 0.2548  6 K 4.48-4.63, 1 Rb 4.60, 1 Ba 4.61
11 K 0.1307 0.8693 0.7552  8 K 4.48-4.62
12 K 0.1307 0.8693 0.2448  8 K 4.48-4.62
13 K 0.6197 0.3803 0.7547  8 K 4.49-4.63
14 K 0.6197 0.3803 0.2453  8 K 4.49-4.63
15 Rb 0.8714 0.1286 0.0000  8 K 4.56-4.60
16 Ba 0.3721 0.6279 0.0000  8 K 4.56-4.61